(1)
Here is a relaxed YFeMo2 crystal from the Alexandria database. Energies are from GGA-PBEsol.

## Properties
Energy of formation from the pure elements = 0.638 eV per atom
Total DFT energy (no corrections) = -9.19 eV per atom
ΔE to the lowest computed polymorph = 144 kJ/mol of formula units

The structure in CIF format:
```
data_YFeMo2
_space_group_name_H-M_alt 'C m m m'
_space_group_IT_number 65
_space_group_name_Hall '-C 2 2'
_cell_length_a 5.220
_cell_length_b 9.478
_cell_length_c 2.677
_cell_angle_alpha 90.00
_cell_angle_beta 90.00
_cell_angle_gamma 90.00
loop_
_atom_site_label
_atom_site_fract_x
_atom_site_fract_y
_atom_site_fract_z
Y1 0.000 0.000 0.000
Fe1 0.000 0.500 0.000
Mo1 0.250 0.250 0.500
```

(2)
Here is a relaxed YFeMo2 crystal from the Alexandria database. Energies are from GGA-PBEsol.

## Properties
Energy of formation from the pure elements = 0.515 eV per atom
Total DFT energy (no corrections) = -9.32 eV per atom
ΔE to the lowest computed polymorph = 97 kJ/mol of formula units

The structure in CIF format:
```
data_YFeMo2
_space_group_name_H-M_alt 'C 1 2/m 1'
_space_group_IT_number 12
_space_group_name_Hall '-C 2y'
_cell_length_a 5.299
_cell_length_b 9.346
_cell_length_c 2.769
_cell_angle_alpha 90.00
_cell_angle_beta 109.19
_cell_angle_gamma 90.00
loop_
_atom_site_label
_atom_site_fract_x
_atom_site_fract_y
_atom_site_fract_z
Y1 0.000 0.000 0.000
Fe1 0.000 0.500 0.000
Mo1 0.250 0.250 0.500
```

What is the total DFT energy (no corrections) in the first record? -9.19 eV per atom